# BaLaCuBr2 PBE relaxed
data_BaLaCuBr2
_chemical_formula_sum 'Ba1 La1 Cu1 Br2'
_cell_length_a 5.680
_cell_length_b 5.680
_cell_length_c 5.276
_cell_angle_alpha 90.00
_cell_angle_beta 90.00
_cell_angle_gamma 90.00
_space_group_name_H-M_alt 'P 1'
_space_group_IT_number 1
_space_group_name_Hall 'P 1'
loop_
_atom_site_label
_atom_site_type_symbol
_atom_site_fract_x
_atom_site_fract_y
_atom_site_fract_z
Ba1 Ba 0.000 0.000 0.000
La1 La 0.500 0.500 0.000
Cu1 Cu 0.500 0.500 0.500
Br1 Br 0.000 0.500 0.500
Br2 Br 0.500 0.000 0.500
# DOS at the Fermi energy   4.13 states/eV/cell
# Formation energy from raw total energies   -0.329 eV per atom